Record 1
A relaxed structure of MnC3N. Source: Alexandria via LeMat-Bulk, functional PBE-GGA.

Symmetry = Pm-3m, No. 221
Relative energy among the computed polymorphs = 0 kJ/mol of formula units

Cell lengths 3.733, 3.733, 3.733 Å; angles 90.00, 90.00, 90.00 degrees
Last column: magnetic moment on the atom in μB.
Positions (direct):
Mn: 0.000 0.000 0.000  0.66
C: 0.000 0.500 0.000  -0.07
N: 0.500 0.500 0.500  1.41
C: 0.000 0.000 0.500  -0.20
C: 0.500 0.000 0.000  -0.10



Record 2
A relaxed structure of Dy2Sc3Cd2. Source: Alexandria via LeMat-Bulk, functional PBE-GGA.

Symmetry = Cmmm, No. 65
Formation energy = -9.0 kJ/mol of formula units

Cell lengths 4.882, 3.253, 11.298 Å; angles 90.00, 77.52, 90.00 degrees
Last column: magnetic moment on the atom in μB.
Positions (direct):
Cd: 0.432 0.500 0.136  0.00
Dy: 0.290 0.500 0.420  0.00
Sc: 0.858 0.000 0.283  0.06
Sc: 0.000 0.000 0.000  0.13
Cd: 0.568 0.500 0.864  0.00
Sc: 0.142 0.000 0.717  0.06
Dy: 0.710 0.500 0.580  0.00



Record 3
A relaxed structure of BaSnHg. Source: Alexandria via LeMat-Bulk, functional PBE-GGA.

Symmetry = I4mm, No. 107
Formation energy = -111.9 kJ/mol of formula units

Cell lengths 3.961, 3.961, 6.896 Å; angles 106.69, 106.69, 90.00 degrees
Positions (direct):
Hg: 0.682 0.682 0.364
Ba: 0.007 0.007 0.014
Sn: 0.311 0.311 0.623



Record 4
A relaxed structure of Sm2ThSi2. Source: Alexandria via LeMat-Bulk, functional PBE-GGA.

Symmetry = P4/mbm, No. 127
Calculated total energy = -6.15 eV/atom

Cell lengths 4.113, 7.805, 7.805 Å; angles 90.00, 90.00, 90.00 degrees
Positions (direct):
Si: 0.000 0.386 0.886
Si: 0.000 0.114 0.386
Th: 0.000 0.000 0.000
Si: 0.000 0.886 0.614
Sm: 0.500 0.177 0.677
Sm: 0.500 0.677 0.823
Si: 0.000 0.614 0.114
Sm: 0.500 0.823 0.323
Sm: 0.500 0.323 0.177
Th: 0.000 0.500 0.500



Record 5
A relaxed structure of Na2SrCaCd. Source: Alexandria via LeMat-Bulk, functional PBE-GGA.

Symmetry = P4/mmm, No. 123
Formation energy = 344.9 kJ/mol of formula units

Cell lengths 6.893, 7.429, 6.893 Å; angles 90.00, 90.00, 90.00 degrees
Positions (direct):
Na: 0.500 0.000 0.000
Ca: 0.000 0.500 0.000
Na: 0.000 0.000 0.500
Cd: 0.500 0.500 0.500
Sr: 0.000 0.000 0.000



Record 6
A relaxed structure of Ac4Sb8Au3. Source: Alexandria via LeMat-Bulk, functional PBE-GGA.

Symmetry = P-4m2, No. 115
Calculated total energy = -4.70 eV/atom

Cell lengths 4.613, 4.613, 21.090 Å; angles 90.00, 90.00, 90.00 degrees
Positions (direct):
Ac: 0.500 0.000 0.882
Au: 0.000 0.000 0.000
Sb: 0.000 0.000 0.755
Sb: 0.500 0.000 0.072
Sb: 0.500 0.500 0.245
Sb: 0.000 0.500 0.417
Ac: 0.000 0.500 0.628
Au: 0.500 0.500 0.500
Sb: 0.500 0.500 0.755
Au: 0.000 0.000 0.500
Sb: 0.500 0.000 0.583
Sb: 0.000 0.500 0.928
Sb: 0.000 0.000 0.245
Ac: 0.500 0.000 0.372
Ac: 0.000 0.500 0.118



Record 7
A relaxed structure of PmPrY2Tm2. Source: Alexandria via LeMat-Bulk, functional PBE-GGA.

Symmetry = Pnnm, No. 58
Formation energy = 156.7 kJ/mol of formula units

Cell lengths 3.424, 6.534, 17.976 Å; angles 90.00, 90.00, 90.00 degrees
Positions (direct):
Y: 0.000 0.220 0.189
Pr: 0.500 0.500 0.500
Tm: 0.000 0.719 0.148
Pr: 0.000 0.000 0.000
Y: 0.500 0.280 0.689
Y: 0.000 0.780 0.811
Tm: 0.000 0.281 0.852
Tm: 0.500 0.781 0.648
Tm: 0.500 0.219 0.352
Y: 0.500 0.720 0.311
Pm: 0.000 0.000 0.500
Pm: 0.500 0.500 0.000



Record 8
A relaxed structure of SmTaMnSi2. Source: Alexandria via LeMat-Bulk, functional PBE-GGA.

Symmetry = I-4m2, No. 119
Calculated total energy = -7.85 eV/atom

Cell lengths 3.968, 3.968, 6.299 Å; angles 108.36, 108.36, 90.00 degrees
Last column: magnetic moment on the atom in μB.
Positions (direct):
Sm: 0.000 0.000 0.000  -0.09
Ta: 0.250 0.750 0.500  -0.26
Si: 0.391 0.391 0.782  -0.02
Si: 0.609 0.609 0.218  -0.02
Mn: 0.750 0.250 0.500  1.88



Record 9
A relaxed structure of LaCuIr2. Source: Alexandria via LeMat-Bulk, functional PBE-GGA.

Symmetry = R-3m, No. 166
Relative energy among the computed polymorphs = 295 kJ/mol of formula units
Formation energy = 140.7 kJ/mol of formula units

Cell lengths 9.457, 9.457, 9.457 Å; angles 17.72, 17.72, 17.72 degrees
Last column: magnetic moment on the atom in μB.
Positions (direct):
Cu: 0.750 0.750 0.750  -0.01
Ir: 0.489 0.489 0.489  -0.06
La: 0.250 0.250 0.250  0.21
Ir: 0.011 0.011 0.011  -0.06



Record 10
A relaxed structure of Sr2YSc. Source: Alexandria via LeMat-Bulk, functional PBE-GGA.

Symmetry = I-42d, No. 122
Relative energy among the computed polymorphs = 175 kJ/mol of formula units
Formation energy = 233.1 kJ/mol of formula units

Cell lengths 9.386, 9.386, 7.486 Å; angles 51.18, 51.18, 90.00 degrees
Last column: magnetic moment on the atom in μB.
Positions (direct):
Sr: 0.875 0.862 0.750  0.04
Sc: 0.500 0.500 0.000  0.40
Y: 0.000 0.000 0.000  0.27
Sr: 0.612 0.125 0.250  0.04
Y: 0.750 0.250 0.500  0.27
Sc: 0.250 0.750 0.500  0.40
Sr: 0.375 0.388 0.750  0.04
Sr: 0.138 0.625 0.250  0.04